Entry 1:
A plane-wave DFT calculation with PBE was carried out for crystalline BiH2Pd5 at its relaxed geometry.

```
BiH2Pd5
1.0
1.5462 -5.4022 0.0000
1.5462 5.4022 0.0000
0.0000 0.0000 13.2954
Bi H Pd
2 4 10
direct
0.0487 0.9513 0.7500
0.9513 0.0487 0.2500
0.4056 0.5944 0.0419
0.4056 0.5944 0.4581
0.5944 0.4056 0.5419
0.5944 0.4056 0.9581
0.1793 0.8207 0.5727
0.1793 0.8207 0.9273
0.2164 0.7836 0.2500
0.4320 0.5680 0.5961
0.4320 0.5680 0.9039
0.5680 0.4320 0.0961
0.5680 0.4320 0.4039
0.7836 0.2164 0.7500
0.8207 0.1793 0.0727
0.8207 0.1793 0.4273
```

Computed properties:
Magnetization (μB/cell): 0.00
DOS at the Fermi energy (states/eV/atom): 0.475

=====

Entry 2:
A plane-wave DFT calculation with PBE was carried out for crystalline Bi3H2Pd8 at its relaxed geometry.

```
Bi3H2Pd8
1.0
2.8575 1.6498 7.6380
-2.8575 1.6498 7.6380
0.0000 -3.2995 7.6380
Bi H Pd
3 2 8
direct
0.0000 0.0000 0.0000
0.2063 0.2063 0.2063
0.7937 0.7937 0.7937
0.4022 0.4022 0.4022
0.5978 0.5978 0.5978
0.2291 0.7293 0.7293
0.2707 0.2707 0.7709
0.2707 0.7709 0.2707
0.3250 0.3250 0.3250
0.6750 0.6750 0.6750
0.7293 0.2291 0.7293
0.7293 0.7293 0.2291
0.7709 0.2707 0.2707
```

Computed properties:
Magnetization (μB/cell): 0.00
DOS at the Fermi energy (states/eV/atom): 0.417

=====

Entry 3:
A plane-wave DFT calculation with PBE was carried out for crystalline BiH8Pd6 at its relaxed geometry.

```
BiH8Pd6
1.0
4.0155 2.3183 2.6799
-4.0155 2.3183 2.6799
0.0000 -4.6367 2.6799
Bi H Pd
1 8 6
direct
0.0000 0.0000 0.0000
0.1750 0.4592 0.6367
0.2967 0.2967 0.2967
0.3633 0.8250 0.5408
0.4592 0.6367 0.1750
0.5408 0.3633 0.8250
0.6367 0.1750 0.4592
0.7033 0.7033 0.7033
0.8250 0.5408 0.3633
0.1458 0.5832 0.2907
0.2907 0.1458 0.5832
0.4168 0.7093 0.8542
0.5832 0.2907 0.1458
0.7093 0.8542 0.4168
0.8542 0.4168 0.7093
```

Computed properties:
Magnetization (μB/cell): 0.00
DOS at the Fermi energy (states/eV/atom): 0.245

=====

Entry 4:
A plane-wave DFT calculation with PBE was carried out for crystalline BiH3Pd3 at its relaxed geometry.

```
BiH3Pd3
1.0
3.7468 2.1632 3.4788
-3.7468 2.1632 3.4788
0.0000 -4.3265 3.4788
Bi H Pd
2 6 6
direct
0.1589 0.1589 0.1589
0.8411 0.8411 0.8411
0.1563 0.4490 0.6556
0.3444 0.8437 0.5510
0.4490 0.6556 0.1563
0.5510 0.3444 0.8437
0.6556 0.1563 0.4490
0.8437 0.5510 0.3444
0.1675 0.6456 0.3492
0.3492 0.1675 0.6456
0.3544 0.6508 0.8325
0.6456 0.3492 0.1675
0.6508 0.8325 0.3544
0.8325 0.3544 0.6508
```

Computed properties:
Magnetization (μB/cell): 0.00
DOS at the Fermi energy (states/eV/atom): 0.317

=====

Entry 5:
A plane-wave DFT calculation with PBE was carried out for crystalline Bi3H12Pd5 at its relaxed geometry.

```
Bi3H12Pd5
1.0
-6.0729 6.0729 6.0729
6.0729 -6.0729 6.0729
6.0729 6.0729 -6.0729
Bi H Pd
12 48 20
direct
0.1250 0.2500 0.3750
0.1250 0.3750 0.7500
0.2500 0.3750 0.1250
0.2500 0.8750 0.6250
0.3750 0.1250 0.2500
0.3750 0.7500 0.1250
0.6250 0.2500 0.8750
0.6250 0.8750 0.7500
0.7500 0.1250 0.3750
0.7500 0.6250 0.8750
0.8750 0.6250 0.2500
0.8750 0.7500 0.6250
0.0062 0.6836 0.0951
0.0062 0.8226 0.9111
0.0889 0.5951 0.9114
0.0886 0.6774 0.6836
0.0886 0.9111 0.4049
0.0889 0.9938 0.1774
0.0951 0.0062 0.6836
0.0951 0.5889 0.4114
0.1774 0.0889 0.9938
0.1774 0.5886 0.1836
0.1836 0.1774 0.5886
0.1836 0.5062 0.5951
0.3164 0.9049 0.9938
0.3164 0.9114 0.3226
0.3226 0.3164 0.9114
0.3226 0.5062 0.4111
0.4049 0.0886 0.9111
0.4049 0.8164 0.4938
0.4114 0.0951 0.5889
0.4111 0.3226 0.5062
0.4111 0.5886 0.9049
0.4114 0.8164 0.8226
0.4938 0.4049 0.8164
0.4938 0.5889 0.6774
0.5062 0.4111 0.3226
0.5062 0.5951 0.1836
0.5886 0.1836 0.1774
0.5889 0.4114 0.0951
0.5889 0.6774 0.4938
0.5886 0.9049 0.4111
0.5951 0.1836 0.5062
0.5951 0.9114 0.0889
0.6774 0.4938 0.5889
0.6774 0.6836 0.0886
0.6836 0.0886 0.6774
0.6836 0.0951 0.0062
0.8164 0.4938 0.4049
0.8164 0.8226 0.4114
0.8226 0.4114 0.8164
0.8226 0.9111 0.0062
0.9049 0.4111 0.5886
0.9049 0.9938 0.3164
0.9111 0.0062 0.8226
0.9114 0.0889 0.5951
0.9114 0.3226 0.3164
0.9111 0.4049 0.0886
0.9938 0.1774 0.0889
0.9938 0.3164 0.9049
0.0000 0.0000 0.0000
0.0000 0.0000 0.5000
0.0000 0.5000 0.0000
0.0000 0.5000 0.5000
0.1250 0.7500 0.8750
0.1250 0.8750 0.2500
0.2500 0.1250 0.8750
0.2500 0.6250 0.3750
0.3750 0.2500 0.6250
0.3750 0.6250 0.7500
0.5000 0.0000 0.0000
0.5000 0.0000 0.5000
0.5000 0.5000 0.0000
0.5000 0.5000 0.5000
0.6250 0.3750 0.2500
0.6250 0.7500 0.3750
0.7500 0.3750 0.6250
0.7500 0.8750 0.1250
0.8750 0.1250 0.7500
0.8750 0.2500 0.1250
```

Computed properties:
Magnetization (μB/cell): 0.00
DOS at the Fermi energy (states/eV/atom): 0.166

=====

Entry 6:
A plane-wave DFT calculation with PBE was carried out for crystalline BiHPd2 at its relaxed geometry.

```
BiHPd2
1.0
3.0259 -4.8447 0.0000
3.0259 4.8447 0.0000
-1.8093 0.0000 4.2797
Bi H Pd
2 2 4
direct
0.1527 0.8473 0.7500
0.8473 0.1527 0.2500
0.4904 0.5096 0.7500
0.5096 0.4904 0.2500
0.2009 0.4077 0.9156
0.4077 0.2009 0.4156
0.5923 0.7991 0.5844
0.7991 0.5923 0.0844
```

Computed properties:
Magnetization (μB/cell): 0.00
DOS at the Fermi energy (states/eV/atom): 0.338

=====

Total DFT energy (no corrections)
In order: -4.6536 -4.7697 -4.1643 -4.3188 -3.6753 -4.5643
Unit: eV/atom